Entry 1:
5
Lattice="4.2967 0.0000 0.0000 0.0000 4.2967 0.0000 0.0000 0.0000 4.8231" Properties=species:S:1:pos:R:3 comment="AlCu2GeW PBE-GGA relaxed" ef_mev_per_atom=1117 magmom_total_mub_per_cell=0.49 pbc="T T T"
Al 0.0000 0.0000 0.0000
Cu 0.0000 2.1483 0.0000
Cu 2.1483 0.0000 0.0000
Ge 2.1483 2.1483 2.4116
W 0.0000 0.0000 2.4116

***

Entry 2:
4
Lattice="2.6018 -3.7937 0.0000 2.6018 3.7937 0.0000 0.0000 0.0000 3.1527" Properties=species:S:1:pos:R:3 comment="Al3Pt PBE-GGA relaxed" ef_mev_per_atom=-478 magmom_total_mub_per_cell=0.00 pbc="T T T"
Al 0.0000 0.0000 0.0000
Al 1.3009 1.8969 1.5763
Al 1.3009 -1.8969 1.5763
Pt 2.6018 0.0000 0.0000

***

Entry 3:
4
Lattice="-1.4751 2.1959 4.4305 1.4751 -2.1959 4.4305 1.4751 2.1959 -4.4305" Properties=species:S:1:pos:R:3 comment="Cr2OsAu PBE-GGA relaxed" ef_mev_per_atom=379 magmom_total_mub_per_cell=0.50 pbc="T T T"
Cr 0.0000 0.0000 0.0000
Cr 0.0000 2.1959 2.5171
Os 0.0000 0.0000 4.8551
Au 1.4751 0.0000 2.3483

***

Entry 4:
14
Lattice="-4.6184 4.6184 4.6117 4.6184 -4.6184 4.6117 4.6184 4.6184 -4.6117" Properties=species:S:1:pos:R:3 comment="Pr8Ge5As PBE-GGA relaxed" ef_mev_per_atom=-882 magmom_total_mub_per_cell=0.00 pbc="T T T"
Pr 6.3223 0.6034 -0.5527
Pr 1.7092 -0.6150 2.8522
Pr 0.6034 2.9145 0.5527
Pr 2.9092 5.2335 -1.7594
Pr 4.0034 2.9092 1.7594
Pr 4.0150 1.7039 5.1644
Pr -1.7039 4.0150 4.0590
Pr 0.6150 1.7092 6.3711
Ge 0.0000 0.0000 0.0000
Ge 3.4636 2.3164 -1.1526
Ge 2.3021 -1.1548 5.7643
Ge 1.1548 2.3021 3.4591
Ge 2.3164 5.7732 1.1526
As 4.6184 0.0000 2.3058

***

Entry 5:
4
Lattice="0.0000 3.0924 3.0924 3.0924 0.0000 3.0924 3.0924 3.0924 0.0000" Properties=species:S:1:pos:R:3 comment="VReOsW PBE-GGA relaxed" ef_mev_per_atom=-47 magmom_total_mub_per_cell=0.00 pbc="T T T"
V 0.0000 0.0000 0.0000
Re 1.5462 1.5462 1.5462
Os 4.6387 4.6387 4.6387
W 3.0924 3.0924 3.0924

***

Entry 6:
6
Lattice="4.2218 0.0000 0.0000 0.0000 4.2218 0.0000 0.0000 0.0000 5.8246" Properties=species:S:1:pos:R:3 comment="AcGa2Tc2C PBE-GGA relaxed" ef_mev_per_atom=-356 magmom_total_mub_per_cell=0.00 pbc="T T T"
Ac 0.0000 0.0000 0.0000
Ga 2.1109 2.1109 1.3502
Ga 2.1109 2.1109 4.4744
Tc 0.0000 2.1109 2.9123
Tc 2.1109 0.0000 2.9123
C 0.0000 0.0000 2.9123

***

Entry 7:
6
Lattice="0.0000 4.4119 4.4119 4.4119 0.0000 4.4119 4.4119 4.4119 0.0000" Properties=species:S:1:pos:R:3 comment="MnNiTe4 PBE-GGA relaxed" e_form_raw_mev_per_atom=1024 magmom_total_mub_per_cell=5.73 pbc="T T T"
Mn 0.0000 0.0000 0.0000
Ni 6.6179 6.6179 6.6179
Te 3.3114 3.3114 3.3114
Te 5.5124 5.5124 3.3114
Te 5.5124 3.3114 5.5124
Te 3.3114 5.5124 5.5124

***

Entry 8:
18
Lattice="8.8502 -2.1424 0.0000 8.8502 2.1424 0.0000 -3.0601 0.0000 10.0204" Properties=species:S:1:pos:R:3 comment="CaSb2Pd3 PBE-GGA relaxed" e_form_raw_mev_per_atom=-701 magmom_total_mub_per_cell=0.00 e_above_lowest_polymorph_mev_per_atom=0.0 pbc="T T T"
Ca 0.0000 0.0000 0.0000
Ca 0.6913 0.0000 7.0505
Ca 13.9489 0.0000 2.9698
Sb 3.0493 0.0000 1.3019
Sb 4.7434 0.0000 5.4859
Sb 7.4343 0.0000 2.2161
Sb 7.2059 0.0000 7.8043
Sb 9.8968 0.0000 4.5345
Sb 11.5909 0.0000 8.7184
Pd -0.1448 0.0000 3.1876
Pd 2.6596 0.0000 3.9305
Pd 5.5246 0.0000 0.3499
Pd 4.3458 0.0000 8.1456
Pd 7.3201 0.0000 5.0102
Pd 10.2944 0.0000 1.8748
Pd 9.1156 0.0000 9.6705
Pd 11.9806 0.0000 6.0899
Pd 14.7850 0.0000 6.8328

***

Entry 9:
4
Lattice="2.9101 0.0000 0.0000 0.0000 2.9101 0.0000 0.0000 0.0000 8.1949" Properties=species:S:1:pos:R:3 comment="MnCd2Ru PBE-GGA relaxed" ef_mev_per_atom=380 magmom_total_mub_per_cell=5.00 e_above_lowest_polymorph_mev_per_atom=220.5 pbc="T T T"
Mn 0.0000 0.0000 0.0000
Cd 1.4550 1.4550 2.0686
Cd 1.4550 1.4550 6.1262
Ru 0.0000 0.0000 4.0974

***

Entry 10:
19
Lattice="8.7379 5.0448 4.3355 -8.7379 5.0448 4.3355 0.0000 -10.0897 4.3355" Properties=species:S:1:pos:R:3 comment="Cs12RbAu6 PBE-GGA relaxed" ef_mev_per_atom=-182 magmom_total_mub_per_cell=0.00 e_above_lowest_polymorph_mev_per_atom=42.6 pbc="T T T"
Cs -3.2821 -4.4049 4.3355
Cs -5.4558 -0.6399 4.3355
Cs 0.0000 -2.6740 1.9080
Cs -2.3157 1.3370 1.9080
Cs 2.3157 1.3370 1.9080
Cs 3.2821 -4.4049 4.3355
Cs -2.1737 5.0448 4.3355
Cs 5.4558 -0.6399 4.3355
Cs 2.1737 5.0448 4.3355
Cs -2.3157 -1.3370 11.0984
Cs 2.3157 -1.3370 11.0984
Cs 0.0000 2.6740 11.0984
Rb 0.0000 0.0000 6.5032
Au -5.0159 -2.8959 7.2973
Au 0.0000 -5.7918 5.7091
Au -5.0159 2.8959 5.7091
Au 5.0159 -2.8959 7.2973
Au 0.0000 5.7918 7.2973
Au 5.0159 2.8959 5.7091

***

Entry 11:
4
Lattice="3.0180 0.0000 0.0000 0.0000 3.0180 0.0000 0.0000 0.0000 6.4418" Properties=species:S:1:pos:R:3 comment="Cu2RuCl PBE-GGA relaxed" e_form_raw_mev_per_atom=433 magmom_total_mub_per_cell=2.01 e_above_lowest_polymorph_mev_per_atom=117.0 pbc="T T T"
Cu 0.0000 0.0000 0.0000
Cu 1.5090 1.5090 1.3028
Ru 0.0000 0.0000 2.7592
Cl 1.5090 1.5090 4.5874

***

Entry 12:
10
Lattice="6.9100 0.0000 0.0000 3.4286 6.0566 0.0000 0.0679 3.6485 6.2658" Properties=species:S:1:pos:R:3 comment="SiTe3Pd PBE-GGA relaxed" e_form_raw_mev_per_atom=-34 magmom_total_mub_per_cell=0.00 e_above_lowest_polymorph_mev_per_atom=0.0 pbc="T T T"
Si 1.7325 2.9105 2.7965
Si 8.6739 6.7947 3.4692
Te 2.7010 5.0572 1.4153
Te 4.2462 6.9205 4.6209
Te 6.5309 6.9460 1.5435
Te 3.8755 2.7592 4.7223
Te 6.1603 2.7846 1.6449
Te 7.7054 4.6480 4.8505
Pd 5.1857 4.9741 0.2484
Pd 5.2208 4.7311 6.0174

***

Entry 13:
12
Lattice="8.3587 0.0000 0.0000 0.0000 4.4691 0.0000 -0.2831 0.0000 9.5306" Properties=species:S:1:pos:R:3 comment="TlInHg3Bi PBE-GGA relaxed" ef_mev_per_atom=15 magmom_total_mub_per_cell=0.00 pbc="T T T"
Tl 1.6431 1.1173 2.3431
Tl 6.4325 3.3518 7.1875
In 2.3358 3.3518 8.7993
In 5.7399 1.1173 0.7314
Hg 0.2632 1.1173 8.6334
Hg 3.0525 3.3518 5.2898
Hg 4.0402 3.3518 2.0511
Hg 4.0355 1.1173 7.4795
Hg 5.0232 1.1173 4.2408
Hg 7.8125 3.3518 0.8972
Bi 0.6667 1.1173 5.5467
Bi 7.4090 3.3518 3.9839

***

Entry 14:
3
Lattice="-1.5001 1.5001 6.1767 1.5001 -1.5001 6.1767 1.5001 1.5001 -6.1767" Properties=species:S:1:pos:R:3 comment="SbPOs PBE-GGA relaxed" e_form_raw_mev_per_atom=155 magmom_total_mub_per_cell=0.00 e_above_lowest_polymorph_mev_per_atom=360.2 pbc="T T T"
Sb 0.0000 0.0000 0.0000
P 0.0000 0.0000 9.0030
Os 0.0000 0.0000 4.0457

***

Entry 15:
4
Lattice="2.4915 0.0000 0.0000 -0.0214 4.0574 0.0000 -0.0910 -2.0192 4.4322" Properties=species:S:1:pos:R:3 comment="BeF PBE-GGA relaxed" e_form_raw_mev_per_atom=-1796 magmom_total_mub_per_cell=0.00 e_above_lowest_polymorph_mev_per_atom=211.3 pbc="T T T"
Be 0.5689 0.0795 2.0374
Be 1.8102 1.9587 2.3948
F 0.5732 -1.1424 3.2184
F 1.8059 3.1806 1.2139

***

Entry 16:
4
Lattice="1.3397 0.7735 8.5248 -1.3397 0.7735 8.5248 0.0000 -1.5470 8.5248" Properties=species:S:1:pos:R:3 comment="Co2MoRh PBE-GGA relaxed" ef_mev_per_atom=117 magmom_total_mub_per_cell=3.39 e_above_lowest_polymorph_mev_per_atom=155.9 pbc="T T T"
Co 0.0000 0.0000 0.0000
Co 0.0000 0.0000 6.6169
Mo 0.0000 0.0000 19.2732
Rh 0.0000 0.0000 12.9761

***

Entry 17:
5
Lattice="5.5331 0.0000 0.0000 0.0000 5.5331 0.0000 0.0000 0.0000 5.1542" Properties=species:S:1:pos:R:3 comment="Cd2GaWBr PBE-GGA relaxed" e_form_raw_mev_per_atom=847 magmom_total_mub_per_cell=3.54 pbc="T T T"
Cd 0.0000 2.7666 0.0000
Cd 2.7666 0.0000 0.0000
Ga 0.0000 0.0000 2.5771
W 0.0000 0.0000 0.0000
Br 2.7666 2.7666 2.5771

***

Entry 18:
11
Lattice="-2.2592 4.1392 7.7107 2.2592 -4.1392 7.7107 2.2592 4.1392 -7.7107" Properties=species:S:1:pos:R:3 comment="Sm3Mg4Sn4 PBE-GGA relaxed" ef_mev_per_atom=-482 magmom_total_mub_per_cell=0.00 pbc="T T T"
Sm 0.0000 0.0000 0.0000
Sm 2.2592 0.0000 5.9495
Sm 0.0000 4.1392 1.7612
Mg 2.2592 1.6021 -2.6876
Mg 2.2592 1.6021 2.6876
Mg 0.0000 2.5371 5.0231
Mg 0.0000 2.5371 10.3983
Sn 0.0000 0.0000 3.4741
Sn 2.2592 2.4124 0.0000
Sn 0.0000 1.7268 7.7107
Sn 0.0000 0.0000 11.9473

***

Entry 19:
6
Lattice="3.2527 0.0000 0.0000 0.0000 5.0915 0.0000 -1.6241 0.0000 7.7654" Properties=species:S:1:pos:R:3 comment="HfScAg PBE-GGA relaxed" ef_mev_per_atom=-30 magmom_total_mub_per_cell=0.00 e_above_lowest_polymorph_mev_per_atom=111.2 pbc="T T T"
Hf 0.0000 1.2729 0.7576
Hf 1.6287 3.8186 7.0078
Sc 0.0029 1.2729 5.8886
Sc 1.6257 3.8186 1.8768
Ag 0.0001 3.8186 4.4301
Ag 1.6285 1.2729 3.3353

***

Entry 20:
4
Lattice="1.4670 0.8470 10.3726 -1.4670 0.8470 10.3726 0.0000 -1.6939 10.3726" Properties=species:S:1:pos:R:3 comment="Hf2AlCu PBE-GGA relaxed" ef_mev_per_atom=303 magmom_total_mub_per_cell=0.00 pbc="T T T"
Hf 0.0000 0.0000 2.7065
Hf 0.0000 0.0000 28.4112
Al 0.0000 0.0000 15.5589
Cu 0.0000 0.0000 0.0000

***

Entry 21:
9
Lattice="8.4395 -1.7560 0.0000 8.4395 1.7560 0.0000 -1.8759 0.0000 9.3254" Properties=species:S:1:pos:R:3 comment="Dy2HoEr4Tm2 PBE-GGA relaxed" ef_mev_per_atom=24 magmom_total_mub_per_cell=0.00 pbc="T T T"
Dy 2.3958 0.0000 0.8427
Dy 12.6072 0.0000 8.4827
Ho -0.9380 0.0000 4.6627
Er 1.6071 0.0000 6.8999
Er 7.8373 0.0000 1.6284
Er 7.1657 0.0000 7.6970
Er 13.3959 0.0000 2.4255
Tm 4.5880 0.0000 5.3836
Tm 10.4150 0.0000 3.9418

***

Entry 22:
5
Lattice="4.8950 0.0000 0.0000 0.0000 4.8950 0.0000 0.0000 0.0000 4.8950" Properties=species:S:1:pos:R:3 comment="MgNb3Os PBE-GGA relaxed" ef_mev_per_atom=900 magmom_total_mub_per_cell=0.00 e_above_lowest_polymorph_mev_per_atom=0.0 pbc="T T T"
Mg 0.0000 0.0000 0.0000
Nb 0.0000 2.4475 2.4475
Nb 2.4475 0.0000 2.4475
Nb 2.4475 2.4475 0.0000
Os 2.4475 2.4475 2.4475

***

Entry 23:
3
Lattice="-1.9740 1.9740 6.5009 1.9740 -1.9740 6.5009 1.9740 1.9740 -6.5009" Properties=species:S:1:pos:R:3 comment="LaEuCd PBE-GGA relaxed" ef_mev_per_atom=-189 magmom_total_mub_per_cell=7.69 e_above_lowest_polymorph_mev_per_atom=0.0 pbc="T T T"
La 0.0000 0.0000 0.0000
Eu 0.0000 0.0000 9.2030
Cd 0.0000 0.0000 4.6221

***

Entry 24:
5
Lattice="4.8886 0.0000 0.0000 0.0000 4.8886 0.0000 0.0000 0.0000 4.8886" Properties=species:S:1:pos:R:3 comment="FeSb3P PBE-GGA relaxed" e_form_raw_mev_per_atom=563 magmom_total_mub_per_cell=1.17 e_above_lowest_polymorph_mev_per_atom=0.0 pbc="T T T"
Fe 0.0000 0.0000 0.0000
Sb 0.0000 0.0000 2.4443
Sb 0.0000 2.4443 0.0000
Sb 2.4443 0.0000 0.0000
P 2.4443 2.4443 2.4443

***

Entry 25:
14
Lattice="2.0619 -8.6291 0.0000 2.0619 8.6291 0.0000 0.0000 0.0000 6.4760" Properties=species:S:1:pos:R:3 comment="Pa2Co2Si3 PBE-GGA relaxed" e_form_raw_mev_per_atom=-671 magmom_total_mub_per_cell=0.00 e_above_lowest_polymorph_mev_per_atom=0.0 pbc="T T T"
Pa 2.0619 7.7646 4.8570
Pa 2.0619 5.8418 1.6190
Pa 2.0619 -5.8418 4.8570
Pa 2.0619 -7.7646 1.6190
Co 2.0619 3.3737 0.3093
Co 2.0619 3.3737 2.9287
Co 2.0619 -3.3737 3.5473
Co 2.0619 -3.3737 6.1667
Si 2.0619 4.8757 4.8570
Si 2.0619 1.1147 3.6416
Si 2.0619 1.1147 6.0724
Si 2.0619 -1.1147 0.4036
Si 2.0619 -1.1147 2.8344
Si 2.0619 -4.8757 1.6190